Record 1
Crystalline Tl3Au at its relaxed geometry, computed with PBE-GGA.

a = 4.7831 Å, b = 4.7831 Å, c = 4.7831 Å
α = 90.00°, β = 90.00°, γ = 90.00°
With the nearest neighbours (Å) after each atom.
Atoms (fractional coordinates):
Tl  0.0000  0.0000  0.5000  8 Tl 3.38, 4 Au 3.38
Tl  0.0000  0.5000  0.0000  8 Tl 3.38, 4 Au 3.38
Tl  0.5000  0.0000  0.0000  8 Tl 3.38, 4 Au 3.38
Au  0.5000  0.5000  0.5000  12 Tl 3.38

## Properties
calculated density: 12.29 g/cm3
space-group type: Pm-3m (221)
E_tot: -0.0937 Ha/atom
E above lowest polymorph: 0.074 eV/atom

Record 2
Crystalline Tl4Au at its relaxed geometry, computed with PBE-GGA.

a = 9.2464 Å, b = 9.2464 Å, c = 9.2464 Å
α = 153.32°, β = 153.32°, γ = 38.09°
With the nearest neighbours (Å) after each atom.
Atoms (fractional coordinates):
Tl  0.0866  0.0866  0.0000  1 Tl 3.03, 4 Au 3.38
Tl  0.2500  0.7500  0.5000  4 Tl 3.02
Tl  0.7500  0.2500  0.5000  4 Tl 3.02
Tl  0.9134  0.9134  0.0000  1 Tl 3.03, 4 Au 3.38
Au  0.5000  0.5000  0.0000  8 Tl 3.38

## Properties
calculated density: 10.59 g/cm3
space-group type: I4/mmm (139)
E_tot: -0.0863 Ha/atom
E above lowest polymorph: 0.230 eV/atom

Record 3
Crystalline Tl4Au5 at its relaxed geometry, computed with PBE-GGA.

a = 7.0432 Å, b = 7.0432 Å, c = 7.0432 Å
α = 96.61°, β = 96.61°, γ = 140.32°
With the nearest neighbours (Å) after each atom.
Atoms (fractional coordinates):
Tl  0.0000  0.3142  0.3142  7 Au 2.94-3.24
Tl  0.0000  0.6858  0.6858  7 Au 2.94-3.24
Tl  0.3142  0.0000  0.3142  7 Au 2.94-3.24
Tl  0.6858  0.0000  0.6858  7 Au 2.94-3.24
Au  0.0000  0.0000  0.0000  4 Tl 2.94, 8 Au 3.15
Au  0.3448  0.3448  0.6895  4 Au 2.91-3.15, 6 Tl 3.17-3.24
Au  0.3448  0.6552  0.0000  4 Au 2.91-3.15, 6 Tl 3.17-3.24
Au  0.6552  0.3448  0.0000  4 Au 2.91-3.15, 6 Tl 3.17-3.24
Au  0.6552  0.6552  0.3105  4 Au 2.91-3.15, 6 Tl 3.17-3.24

## Properties
calculated density: 14.26 g/cm3
space-group type: I4/mmm (139)
E_tot: -0.1027 Ha/atom

Record 4
Crystalline Tl3Au at its relaxed geometry, computed with PBE-GGA.

a = 3.9810 Å, b = 4.6762 Å, c = 6.4740 Å
α = 90.00°, β = 107.72°, γ = 90.00°
With the nearest neighbours (Å) after each atom.
Atoms (fractional coordinates):
Tl  0.0000  0.0000  0.0000  2 Au 3.24, 8 Tl 3.41-3.61
Tl  0.4083  0.5000  0.7264  2 Au 2.97, 1 Tl 3.23
Tl  0.5917  0.5000  0.2736  2 Au 2.97, 1 Tl 3.23
Au  0.0000  0.0000  0.5000  6 Tl 2.97-3.24

## Properties
calculated density: 11.72 g/cm3
space-group type: P2/m (10)
E_tot: -0.0945 Ha/atom
E above lowest polymorph: 0.055 eV/atom

Record 5
Crystalline Tl2Au at its relaxed geometry, computed with PBE-GGA.

a = 4.1980 Å, b = 4.1980 Å, c = 5.8255 Å
α = 90.00°, β = 90.00°, γ = 120.00°
With the nearest neighbours (Å) after each atom.
Atoms (fractional coordinates):
Tl  0.3333  0.6667  0.2912  3 Au 2.96
Tl  0.6667  0.3333  0.7088  3 Au 2.96
Au  0.0000  0.0000  0.0000  6 Tl 2.96

## Properties
calculated density: 11.31 g/cm3
space-group type: P-3m1 (164)
E_tot: -0.0986 Ha/atom

Record 6
Crystalline TlAu6 at its relaxed geometry, computed with PBE-GGA.

a = 9.4118 Å, b = 5.7901 Å, c = 10.6000 Å
α = 90.00°, β = 90.00°, γ = 90.00°
With the nearest neighbours (Å) after each atom.
Atoms (fractional coordinates):
Tl  0.2249  0.2500  0.0583  7 Au 2.91-3.25
Tl  0.2751  0.7500  0.5583  7 Au 2.91-3.25
Tl  0.7249  0.2500  0.4417  7 Au 2.91-3.25
Tl  0.7751  0.7500  0.9417  7 Au 2.91-3.25
Au  0.0532  0.0043  0.3023  9 Au 2.84-2.94
Au  0.0532  0.4957  0.3023  9 Au 2.84-2.94
Au  0.0693  0.7500  0.0669  5 Au 2.81-2.90, 1 Tl 3.07
Au  0.1277  0.2500  0.5246  7 Au 2.83-2.90
Au  0.1742  0.7500  0.8192  8 Au 2.81-2.94, 1 Tl 2.92
Au  0.1884  0.2500  0.7859  8 Au 2.83-2.92, 1 Tl 2.91
Au  0.3116  0.7500  0.2859  8 Au 2.83-2.92, 1 Tl 2.91
Au  0.3258  0.2500  0.3192  8 Au 2.81-2.94, 1 Tl 2.92
Au  0.3723  0.7500  0.0246  7 Au 2.83-2.90
Au  0.4307  0.2500  0.5669  5 Au 2.81-2.90, 1 Tl 3.07
Au  0.4468  0.5043  0.8023  9 Au 2.84-2.94
Au  0.4468  0.9957  0.8023  9 Au 2.84-2.94
Au  0.5532  0.0043  0.1977  9 Au 2.84-2.94
Au  0.5532  0.4957  0.1977  9 Au 2.84-2.94
Au  0.5693  0.7500  0.4331  5 Au 2.81-2.90, 1 Tl 3.07
Au  0.6277  0.2500  0.9754  7 Au 2.83-2.90
Au  0.6742  0.7500  0.6808  8 Au 2.81-2.94, 1 Tl 2.92
Au  0.6884  0.2500  0.7141  8 Au 2.83-2.92, 1 Tl 2.91
Au  0.8116  0.7500  0.2141  8 Au 2.83-2.92, 1 Tl 2.91
Au  0.8258  0.2500  0.1808  8 Au 2.81-2.94, 1 Tl 2.92
Au  0.8723  0.7500  0.4754  7 Au 2.83-2.90
Au  0.9307  0.2500  0.9331  5 Au 2.81-2.90, 1 Tl 3.07
Au  0.9468  0.5043  0.6977  9 Au 2.84-2.94
Au  0.9468  0.9957  0.6977  9 Au 2.84-2.94

## Properties
calculated density: 15.94 g/cm3
space-group type: Pnma (62)
E_tot: -0.1138 Ha/atom
E above lowest polymorph: 0.000 eV/atom

Record 7
Crystalline Tl5Au at its relaxed geometry, computed with PBE-GGA.

a = 6.4026 Å, b = 6.4026 Å, c = 6.4026 Å
α = 60.00°, β = 60.00°, γ = 60.00°
With the nearest neighbours (Å) after each atom.
Atoms (fractional coordinates):
Tl  0.0000  0.0000  0.0000  12 Tl 3.76, 4 Au 3.92
Tl  0.1263  0.6246  0.6246  6 Tl 3.19-3.21
Tl  0.6246  0.1263  0.6246  6 Tl 3.19-3.21
Tl  0.6246  0.6246  0.1263  6 Tl 3.19-3.21
Tl  0.6246  0.6246  0.6246  6 Tl 3.19-3.21
Au  0.2500  0.2500  0.2500  16 Tl 3.75-3.92

## Properties
calculated density: 10.91 g/cm3
space-group type: F-43m (216)
E_tot: -0.0846 Ha/atom
E above lowest polymorph: 0.210 eV/atom

Record 8
Crystalline Tl3Au5 at its relaxed geometry, computed with PBE-GGA.

a = 5.8493 Å, b = 5.8493 Å, c = 5.4254 Å
α = 90.00°, β = 90.00°, γ = 106.67°
With the nearest neighbours (Å) after each atom.
Atoms (fractional coordinates):
Tl  0.0000  0.0000  0.0000  4 Au 2.92
Tl  0.2247  0.7753  0.5000  8 Au 2.95-3.24
Tl  0.7753  0.2247  0.5000  8 Au 2.95-3.24
Au  0.0000  0.5000  0.0000  2 Au 2.92, 6 Tl 2.92-3.24
Au  0.2967  0.2967  0.5000  3 Au 2.84-3.06, 4 Tl 2.95-2.96
Au  0.5000  0.0000  0.0000  2 Au 2.92, 6 Tl 2.92-3.24
Au  0.5000  0.5000  0.0000  8 Au 2.92-3.06
Au  0.7033  0.7033  0.5000  3 Au 2.84-3.06, 4 Tl 2.95-2.96

## Properties
calculated density: 14.92 g/cm3
space-group type: Cmmm (65)
E_tot: -0.1044 Ha/atom
E above lowest polymorph: 0.085 eV/atom

Record 9
Crystalline Tl4Au at its relaxed geometry, computed with PBE-GGA.

a = 6.9106 Å, b = 6.9106 Å, c = 6.1285 Å
α = 90.00°, β = 90.00°, γ = 90.00°
With the nearest neighbours (Å) after each atom.
Atoms (fractional coordinates):
Tl  0.0813  0.5813  0.2362  2 Au 3.04, 2 Tl 3.30
Tl  0.0813  0.9187  0.7638  2 Au 3.04, 2 Tl 3.30
Tl  0.4187  0.5813  0.7638  2 Au 3.04, 2 Tl 3.30
Tl  0.4187  0.9187  0.2362  2 Au 3.04, 2 Tl 3.30
Tl  0.5813  0.0813  0.7638  2 Au 3.04, 2 Tl 3.30
Tl  0.5813  0.4187  0.2362  2 Au 3.04, 2 Tl 3.30
Tl  0.9187  0.0813  0.2362  2 Au 3.04, 2 Tl 3.30
Tl  0.9187  0.4187  0.7638  2 Au 3.04, 2 Tl 3.30
Au  0.2500  0.2500  0.5000  8 Tl 3.04
Au  0.7500  0.7500  0.5000  8 Tl 3.04

## Properties
calculated density: 11.51 g/cm3
space-group type: P4/nbm (125)
E_tot: -0.0947 Ha/atom
E above lowest polymorph: 0.000 eV/atom

Record 10
Crystalline Tl3Au at its relaxed geometry, computed with PBE-GGA.

a = 6.0470 Å, b = 6.0470 Å, c = 6.0470 Å
α = 90.00°, β = 90.00°, γ = 90.00°
With the nearest neighbours (Å) after each atom.
Atoms (fractional coordinates):
Tl  0.0000  0.2500  0.5000  2 Tl 3.02, 4 Au 3.38
Tl  0.0000  0.7500  0.5000  2 Tl 3.02, 4 Au 3.38
Tl  0.2500  0.5000  0.0000  2 Tl 3.02, 4 Au 3.38
Tl  0.5000  0.0000  0.2500  2 Tl 3.02, 4 Au 3.38
Tl  0.5000  0.0000  0.7500  2 Tl 3.02, 4 Au 3.38
Tl  0.7500  0.5000  0.0000  2 Tl 3.02, 4 Au 3.38
Au  0.0000  0.0000  0.0000  12 Tl 3.38
Au  0.5000  0.5000  0.5000  12 Tl 3.38

## Properties
calculated density: 12.17 g/cm3
space-group type: Pm-3n (223)
E_tot: -0.0933 Ha/atom
E above lowest polymorph: 0.088 eV/atom

Record 11
Crystalline TlAu8 at its relaxed geometry, computed with PBE-GGA.

a = 6.6551 Å, b = 6.6551 Å, c = 6.6551 Å
α = 95.91°, β = 95.91°, γ = 142.55°
With the nearest neighbours (Å) after each atom.
Atoms (fractional coordinates):
Tl  0.0000  0.0000  0.0000  12 Au 3.00-3.03
Au  0.0000  0.3368  0.3368  11 Au 2.91-3.01, 1 Tl 3.00
Au  0.0000  0.6632  0.6632  11 Au 2.91-3.01, 1 Tl 3.00
Au  0.3296  0.3296  0.6592  10 Au 2.93-3.04, 2 Tl 3.03
Au  0.3296  0.6704  0.0000  10 Au 2.93-3.04, 2 Tl 3.03
Au  0.3368  0.0000  0.3368  11 Au 2.91-3.01, 1 Tl 3.00
Au  0.6632  0.0000  0.6632  11 Au 2.91-3.01, 1 Tl 3.00
Au  0.6704  0.3296  0.0000  10 Au 2.93-3.04, 2 Tl 3.03
Au  0.6704  0.6704  0.3408  10 Au 2.93-3.04, 2 Tl 3.03

## Properties
calculated density: 17.42 g/cm3
space-group type: I4/mmm (139)
E_tot: -0.1148 Ha/atom

Record 12
Crystalline TlAu5 at its relaxed geometry, computed with PBE-GGA.

a = 5.6070 Å, b = 5.6070 Å, c = 5.6070 Å
α = 60.00°, β = 60.00°, γ = 60.00°
With the nearest neighbours (Å) after each atom.
Atoms (fractional coordinates):
Tl  0.0000  0.0000  0.0000  16 Au 3.29-3.43
Au  0.3753  0.3753  0.3753  6 Au 2.80-2.81
Au  0.3753  0.3753  0.8741  6 Au 2.80-2.81
Au  0.3753  0.8741  0.3753  6 Au 2.80-2.81
Au  0.7500  0.7500  0.7500  12 Au 3.29, 4 Tl 3.43
Au  0.8741  0.3753  0.3753  6 Au 2.80-2.81

## Properties
calculated density: 15.84 g/cm3
space-group type: F-43m (216)
E_tot: -0.1129 Ha/atom
E above lowest polymorph: 0.000 eV/atom